[1]
Below is a crystal of CdRu2Pt relaxed with PBEsol, with properties calculated at the meta-GGA SCAN level.

```
data_CdRu2Pt
_symmetry_space_group_name_H-M 'P 4 m m'
_symmetry_Int_Tables_number 99
_cell_length_a 2.755
_cell_length_b 2.755
_cell_length_c 7.894
_cell_angle_alpha 90.00
_cell_angle_beta 90.00
_cell_angle_gamma 90.00
loop_
_symmetry_equiv_pos_as_xyz
'x,y,z'
'-y,x,z'
'-x,-y,z'
'y,-x,z'
'-x,y,z'
'y,x,z'
'x,-y,z'
'-y,-x,z'
loop_
_atom_site_label
_atom_site_fract_x
_atom_site_fract_y
_atom_site_fract_z
_atom_site_occupancy
Cd1 0.000 0.000 0.000 1
Ru1 0.000 0.000 0.519 1
Ru2 0.500 0.500 0.728 1
Pt1 0.500 0.500 0.273 1
```

***

[2]
Below is a crystal of CdRu2Pt relaxed with PBEsol, with properties calculated at the meta-GGA SCAN level.

```
data_CdRu2Pt
_symmetry_space_group_name_H-M 'I 4/m m m'
_symmetry_Int_Tables_number 139
_symmetry_space_group_name_Hall '-I 4 2'
_cell_length_a 3.876
_cell_length_b 3.876
_cell_length_c 7.918
_cell_angle_alpha 90.00
_cell_angle_beta 90.00
_cell_angle_gamma 90.00
loop_
_atom_site_label
_atom_site_fract_x
_atom_site_fract_y
_atom_site_fract_z
_atom_site_occupancy
Cd1 0.000 0.000 0.000 1
Ru1 0.000 0.500 0.250 1
Pt1 0.000 0.000 0.500 1
```

***

[3]
Below is a crystal of CdRuPt2 relaxed with PBEsol, with properties calculated at the meta-GGA SCAN level.

```
data_CdRuPt2
_symmetry_space_group_name_H-M 'R -3 m'
_symmetry_Int_Tables_number 166
_symmetry_space_group_name_Hall '-R 3 2"'
_cell_length_a 2.7856
_cell_length_b 2.7856
_cell_length_c 27.3262
_cell_angle_alpha 90.00
_cell_angle_beta 90.00
_cell_angle_gamma 120.00
loop_
_atom_site_label
_atom_site_fract_x
_atom_site_fract_y
_atom_site_fract_z
_atom_site_occupancy
Cd1 0.0000 0.0000 0.0000 1
Ru1 0.0000 0.0000 0.5000 1
Pt1 0.0000 0.0000 0.2454 1
```

***

[4]
Below is a crystal of CdRu2Pt relaxed with PBEsol, with properties calculated at the meta-GGA SCAN level.

```
data_CdRu2Pt
_symmetry_space_group_name_H-M 'P 4/m m m'
_symmetry_Int_Tables_number 123
_symmetry_space_group_name_Hall '-P 4 2'
_cell_length_a 3.097
_cell_length_b 3.097
_cell_length_c 6.373
_cell_angle_alpha 90.00
_cell_angle_beta 90.00
_cell_angle_gamma 90.00
loop_
_atom_site_label
_atom_site_fract_x
_atom_site_fract_y
_atom_site_fract_z
_atom_site_occupancy
Cd1 0.000 0.000 0.000 1
Ru1 0.500 0.500 0.275 1
Pt1 0.000 0.000 0.500 1
```

***

[5]
Below is a crystal of CdRuPt2 relaxed with PBEsol, with properties calculated at the meta-GGA SCAN level.

```
data_CdRuPt2
_symmetry_space_group_name_H-M 'P 4/m m m'
_symmetry_Int_Tables_number 123
_symmetry_space_group_name_Hall '-P 4 2'
_cell_length_a 2.766
_cell_length_b 2.766
_cell_length_c 8.019
_cell_angle_alpha 90.00
_cell_angle_beta 90.00
_cell_angle_gamma 90.00
loop_
_atom_site_label
_atom_site_fract_x
_atom_site_fract_y
_atom_site_fract_z
_atom_site_occupancy
Cd1 0.000 0.000 0.000 1
Ru1 0.000 0.000 0.500 1
Pt1 0.500 0.500 0.270 1
```

***

[6]
Below is a crystal of CdRu2Pt relaxed with PBEsol, with properties calculated at the meta-GGA SCAN level.

```
data_CdRu2Pt
_symmetry_space_group_name_H-M 'P 4/m m m'
_symmetry_Int_Tables_number 123
_symmetry_space_group_name_Hall '-P 4 2'
_cell_length_a 3.827
_cell_length_b 3.827
_cell_length_c 4.087
_cell_angle_alpha 90.00
_cell_angle_beta 90.00
_cell_angle_gamma 90.00
loop_
_atom_site_label
_atom_site_fract_x
_atom_site_fract_y
_atom_site_fract_z
_atom_site_occupancy
Cd1 0.000 0.000 0.000 1
Ru1 0.000 0.500 0.500 1
Pt1 0.500 0.500 0.000 1
```

***

no.,VASP energy (eV/atom),energy relative to the elements (eV per atom)
1,-42.5683,-0.003
2,-42.2844,0.281
3,-51.4213,-0.015
4,-42.1855,0.379
5,-51.5312,-0.125
6,-42.2710,0.294